Nb4V9Ru11: relaxed, PBE.

Calculated total energy, eV per atom: -9.521
E_form, meV/atom: -172

Geometry as CIF:
```
data_Nb4V9Ru11
_cell_length_a 13.9888
_cell_length_b 17.1436
_cell_length_c 2.9156
_cell_angle_alpha 90.00
_cell_angle_beta 90.00
_cell_angle_gamma 90.00
_symmetry_space_group_name_H-M 'C m m m'
_symmetry_Int_Tables_number 65
_symmetry_space_group_name_Hall '-C 2 2'
loop_
_atom_site_label
_atom_site_type_symbol
_atom_site_fract_x
_atom_site_fract_y
_atom_site_fract_z
_atom_site_occupancy
Nb1 Nb 0.1567 0.0809 0.0000 1
V1 V 0.0000 0.0000 0.0000 1
V2 V 0.1078 0.4063 0.0000 1
V3 V 0.1221 0.2285 0.0000 1
Ru1 Ru 0.0000 0.1465 0.5000 1
Ru2 Ru 0.0000 0.3172 0.5000 1
Ru3 Ru 0.0000 0.5000 0.5000 1
Ru4 Ru 0.2024 0.5000 0.5000 1
Ru5 Ru 0.2160 0.3270 0.5000 1
```